Y3PbN PBE optimized geometry; magnetic moment = 0.00 μB/f.u.; D(E_F) = 0.9000 states/eV/atom; E_form (uncorrected) = -834.2 meV per atom
1.0
-2.2293 8.8063 9.1307
-8.0349 2.8210 2.5970
-4.2319 -7.7922 -0.7974
Pb Y N
4 12 4
Direct
0.0610 0.5324 0.3196
0.4390 0.8196 0.0324
0.9390 0.4676 0.6804
0.5610 0.1804 0.9676
0.4024 0.4163 0.4473
0.0976 0.9473 0.9163
0.5976 0.5837 0.5527
0.9024 0.0527 0.0837
0.0916 0.2166 0.1724
0.4084 0.6724 0.7166
0.9084 0.7834 0.8276
0.5916 0.3276 0.2834
0.5801 0.8613 0.8119
0.9199 0.3119 0.3613
0.4199 0.1387 0.1881
0.0801 0.6881 0.6387
0.7500 0.1877 0.6877
0.2500 0.8123 0.3123
0.7500 0.4503 0.9503
0.2500 0.5497 0.0497

=====

YPbN PBE optimized geometry; magnetic moment = 0.00 μB/f.u.; D(E_F) = 0.3248 states/eV/atom; E_form (uncorrected) = -707.8 meV per atom
1.0
-0.1402 -2.8845 -2.4573
5.2688 1.6357 -2.2207
5.7403 -7.3005 8.2421
Pb N Y
4 4 4
Direct
0.2500 0.2372 0.4600
0.2500 0.2628 0.9600
0.7500 0.7628 0.5400
0.7500 0.7372 0.0400
0.7500 0.8909 0.7231
0.7500 0.6091 0.2231
0.2500 0.1091 0.2769
0.2500 0.3909 0.7769
0.7500 0.2360 0.2021
0.7500 0.2640 0.7021
0.2500 0.7640 0.7979
0.2500 0.7360 0.2979

=====

Y3PbN PBE optimized geometry; magnetic moment = 0.00 μB/f.u.; D(E_F) = 0.9261 states/eV/atom; E_form (uncorrected) = -736.7 meV per atom
1.0
13.5619 0.0000 0.0035
5.8237 5.9318 -3.4975
-5.8237 5.9318 3.4975
Pb Y N
4 12 4
Direct
0.7500 0.2107 0.7107
0.2500 0.7893 0.2893
0.7500 0.6028 0.1028
0.2500 0.3972 0.8972
0.1466 0.2315 0.2704
0.3534 0.7704 0.7315
0.8534 0.7685 0.7296
0.6466 0.2296 0.2685
0.3579 0.3601 0.3494
0.1421 0.8494 0.8601
0.6421 0.6399 0.6506
0.8579 0.1506 0.1399
0.5246 0.0873 0.8291
0.9754 0.3291 0.5873
0.4754 0.9127 0.1709
0.0246 0.6709 0.4127
0.2506 0.3631 0.4571
0.2494 0.9571 0.8631
0.7494 0.6369 0.5429
0.7506 0.0429 0.1369

=====

YPb3N PBE optimized geometry; magnetic moment = 0.36 μB/f.u.; energy above the lowest structure with this stoichiometry = 0 meV/atom; D(E_F) = 0.8500 states/eV/atom; E_form (uncorrected) = 371.8 meV per atom
1.0
5.0317 0.0000 0.0000
0.0000 5.0317 0.0000
0.0000 0.0000 5.0317
Pb Y N
3 1 1
Direct
0.0000 0.5000 0.0000
0.0000 0.0000 0.5000
0.5000 0.0000 0.0000
0.5000 0.5000 0.5000
0.0000 0.0000 0.0000

=====

YPbN3 PBE optimized geometry; magnetic moment = 0.00 μB/f.u.; D(E_F) = 0.6767 states/eV/atom; E_form (uncorrected) = 990.3 meV per atom
1.0
-0.5382 3.1021 2.7821
-4.0064 -1.1563 0.5143
1.1454 -2.5870 3.1062
Pb Y N
1 1 3
Direct
0.0000 0.0000 0.0000
0.5000 0.5000 0.5000
0.0000 0.5000 0.0000
0.0000 0.0000 0.5000
0.5000 0.0000 0.0000

=====

Y3PbN PBE optimized geometry; magnetic moment = 0.00 μB/f.u.; D(E_F) = 0.1156 states/eV/atom; E_form (uncorrected) = -785.7 meV per atom
1.0
-1.7346 4.2073 -3.4938
-9.0703 -8.0915 -5.2409
-4.6536 2.0900 4.8271
Pb Y N
4 12 4
Direct
0.0000 0.0000 0.5000
0.5000 0.5000 0.0000
0.5000 0.0000 0.0000
0.0000 0.5000 0.5000
0.0065 0.8791 0.9106
0.4935 0.3791 0.4106
0.4935 0.1209 0.4106
0.9935 0.3791 0.0894
0.9935 0.1209 0.0894
0.5065 0.6209 0.5894
0.5065 0.8791 0.5894
0.0065 0.6209 0.9106
0.4681 0.2500 0.9086
0.0319 0.7500 0.4086
0.5319 0.7500 0.0914
0.9681 0.2500 0.5914
0.5698 0.2500 0.6014
0.9302 0.7500 0.1014
0.4302 0.7500 0.3986
0.0698 0.2500 0.8986

=====

Y3PbN PBE optimized geometry; magnetic moment = 1.41 μB/f.u.; D(E_F) = 1.1260 states/eV/atom; E_form (uncorrected) = -480.2 meV per atom
1.0
3.2165 7.2352 1.3829
7.5142 1.4173 2.4766
5.8091 3.4768 -4.3327
Pb Y N
2 6 2
Direct
0.0000 0.0000 0.0000
0.5000 0.5000 0.5000
0.9597 0.5403 0.2500
0.5403 0.2500 0.9597
0.2500 0.9597 0.5403
0.7500 0.0403 0.4597
0.4597 0.7500 0.0403
0.0403 0.4597 0.7500
0.2500 0.2500 0.2500
0.7500 0.7500 0.7500

=====

Y3PbN PBE optimized geometry; magnetic moment = 0.00 μB/f.u.; D(E_F) = 0.9972 states/eV/atom; E_form (uncorrected) = -454.6 meV per atom
1.0
6.6402 0.0000 0.0000
0.0000 6.6402 0.0000
3.3201 3.3201 6.1956
Pb Y N
2 6 2
Direct
0.6164 0.1164 0.7672
0.8836 0.3836 0.2328
0.1296 0.8801 0.2397
0.1199 0.8704 0.7603
0.1199 0.3693 0.7603
0.6307 0.8801 0.2397
0.3708 0.3708 0.2584
0.6292 0.6292 0.7416
0.0000 0.0000 0.0000
0.2500 0.7500 0.5000

=====

Y3PbN PBE optimized geometry; magnetic moment = 0.00 μB/f.u.; D(E_F) = 0.7764 states/eV/atom; E_form (uncorrected) = -670.8 meV per atom
1.0
-11.0269 -9.5355 -11.8322
-2.6636 -1.8923 -8.0951
5.7188 0.2247 6.5918
Pb Y N
2 6 2
Direct
0.5722 0.0283 0.9717
0.4278 0.9717 0.0283
0.2314 0.7829 0.2171
0.7686 0.2171 0.7829
0.0285 0.3052 0.6948
0.9715 0.6948 0.3052
0.3547 0.8473 0.1527
0.6453 0.1527 0.8473
0.9003 0.8991 0.1009
0.0997 0.1009 0.8991

=====

Y3PbN PBE optimized geometry; magnetic moment = 0.87 μB/f.u.; D(E_F) = 0.4991 states/eV/atom; E_form (uncorrected) = -609.8 meV per atom
1.0
-6.3430 3.4928 5.5420
-2.6841 8.6540 -1.0247
-8.3380 1.8389 -3.2005
Pb Y N
4 12 4
Direct
0.6250 0.6250 0.6250
0.6250 0.1250 0.6250
0.1250 0.6250 0.6250
0.6250 0.6250 0.1250
0.8117 0.1883 0.1883
0.0617 0.4383 0.4383
0.4383 0.4383 0.0617
0.4383 0.0617 0.0617
0.0617 0.4383 0.0617
0.8117 0.1883 0.8117
0.4383 0.0617 0.4383
0.0617 0.0617 0.4383
0.1883 0.8117 0.1883
0.1883 0.8117 0.8117
0.1883 0.1883 0.8117
0.8117 0.8117 0.1883
0.1250 0.1250 0.1250
0.1250 0.6250 0.1250
0.6250 0.1250 0.1250
0.1250 0.1250 0.6250

=====

Y3PbN PBE optimized geometry; magnetic moment = 0.00 μB/f.u.; D(E_F) = 0.0323 states/eV/atom; E_form (uncorrected) = -43.8 meV per atom
1.0
4.5769 0.0000 4.1106
-2.2884 3.9637 4.1106
-2.2884 -3.9637 4.1106
Pb Y N
1 3 1
Direct
0.7984 0.7984 0.7984
0.8597 0.2854 0.8597
0.2854 0.8597 0.8597
0.8597 0.8597 0.2854
0.0719 0.0719 0.0719

=====

Y3Pb3N5 PBE optimized geometry; magnetic moment = 0.00 μB/f.u.; E_form (uncorrected) = -482.3 meV per atom
1.0
6.4394 -0.0005 -0.0020
0.2341 6.9947 0.0012
0.2038 3.0033 9.8832
Y Pb N
6 6 10
Direct
0.1810 0.6618 0.9255
0.8190 0.3382 0.0745
0.2745 0.0397 0.5742
0.7255 0.9603 0.4258
0.8393 0.0504 0.7702
0.1607 0.9496 0.2298
0.2173 0.5729 0.5586
0.7827 0.4271 0.4414
0.3482 0.1820 0.8967
0.6518 0.8180 0.1033
0.2515 0.3701 0.2623
0.7485 0.6299 0.7377
0.0825 0.7914 0.7032
0.9175 0.2086 0.2968
0.0324 0.2778 0.6079
0.9676 0.7222 0.3921
0.1764 0.3259 0.0502
0.8236 0.6741 0.9498
0.6095 0.9610 0.6431
0.3905 0.0390 0.3569
0.7053 0.1370 0.9591
0.2947 0.8630 0.0409

=====

Y2PbN PBE optimized geometry; magnetic moment = 0.00 μB/f.u.; D(E_F) = 1.1213 states/eV/atom; E_form (uncorrected) = -841.2 meV per atom
1.0
6.9797 0.0000 0.0000
0.0000 6.9797 0.0000
3.4899 3.4899 4.1213
Pb Y N
2 4 2
Direct
0.0000 0.0000 0.0000
0.7500 0.2500 0.5000
0.5170 0.1250 0.2500
0.2330 0.6250 0.2500
0.3750 0.4830 0.7500
0.8750 0.7670 0.7500
0.5000 0.5000 0.0000
0.2500 0.7500 0.5000

=====

Y2PbN PBE optimized geometry; magnetic moment = 0.00 μB/f.u.; D(E_F) = 0.2652 states/eV/atom; E_form (uncorrected) = -1100.1 meV per atom
1.0
-2.9829 -1.8726 -0.5829
2.4704 -1.2370 2.2634
-4.1611 5.2022 4.5813
Y Pb N
2 1 1
Direct
0.2781 0.0561 0.3330
0.7219 0.9439 0.6670
0.5000 0.5000 0.0000
0.0000 0.5000 0.5000

=====

YPbN2 PBE optimized geometry; magnetic moment = 0.00 μB/f.u.; D(E_F) = 0.8865 states/eV/atom; E_form (uncorrected) = -144.5 meV per atom
1.0
2.1191 0.0000 6.4800
-1.0595 1.8352 6.4800
-1.0595 -1.8352 6.4800
Pb Y N
1 1 2
Direct
0.0000 0.0000 0.0000
0.5000 0.5000 0.5000
0.8913 0.8913 0.8913
0.1087 0.1087 0.1087

=====

YPb3N PBE optimized geometry; magnetic moment = 0.00 μB/f.u.; energy above the lowest structure with this stoichiometry = 1341 meV/atom; D(E_F) = 3.1701 states/eV/atom; E_form (uncorrected) = 1713.1 meV per atom
1.0
5.9086 0.0000 0.0000
0.0000 5.9086 0.0000
0.0000 0.0000 5.9086
Pb Y N
3 1 1
Direct
0.0000 0.5000 0.0000
0.0000 0.0000 0.5000
0.5000 0.0000 0.0000
0.0000 0.0000 0.0000
0.5000 0.5000 0.5000

=====

Y2PbN PBE optimized geometry; magnetic moment = 0.00 μB/f.u.; D(E_F) = 1.0779 states/eV/atom; E_form (uncorrected) = 224.5 meV per atom
1.0
0.0000 3.5737 3.5737
3.5737 0.0000 3.5737
3.5737 3.5737 0.0000
Pb Y N
1 2 1
Direct
0.5000 0.5000 0.5000
0.2500 0.2500 0.2500
0.7500 0.7500 0.7500
0.0000 0.0000 0.0000

=====

Y3PbN PBE optimized geometry; magnetic moment = 0.67 μB/f.u.; D(E_F) = 0.7678 states/eV/atom; E_form (uncorrected) = -809.1 meV per atom
1.0
-7.8601 -23.2523 -8.0523
5.9738 -1.5866 -1.2497
3.2126 7.5602 5.7586
Pb Y N
4 12 4
Direct
0.0095 0.1738 0.4027
0.9905 0.8262 0.5973
0.4905 0.6738 0.0973
0.5095 0.3262 0.9027
0.3049 0.9214 0.9620
0.6951 0.0786 0.0380
0.1951 0.4214 0.5380
0.8049 0.5786 0.4620
0.3543 0.4232 0.2434
0.6457 0.5768 0.7566
0.1457 0.9232 0.2566
0.8543 0.0768 0.7434
0.4108 0.8516 0.5780
0.5892 0.1484 0.4220
0.0892 0.3516 0.9220
0.9108 0.6484 0.0780
0.5177 0.7494 0.6258
0.4823 0.2506 0.3742
0.9823 0.2494 0.8742
0.0177 0.7506 0.1258

=====

YPbN2 PBE optimized geometry; magnetic moment = 0.00 μB/f.u.; D(E_F) = 0.5499 states/eV/atom; E_form (uncorrected) = -265.3 meV per atom
1.0
-2.8601 -4.4988 -0.7100
2.5480 -2.2754 4.1537
-3.9667 -1.4968 5.0950
Pb Y N
2 2 4
Direct
0.0000 0.0000 0.0000
0.7500 0.2500 0.5000
0.5000 0.5000 0.0000
0.2500 0.7500 0.5000
0.6083 0.1250 0.2500
0.1417 0.6250 0.2500
0.3750 0.3917 0.7500
0.8750 0.8583 0.7500

=====

Y2PbN PBE optimized geometry; magnetic moment = 0.00 μB/f.u.; D(E_F) = 0.5945 states/eV/atom; E_form (uncorrected) = -478.1 meV per atom
1.0
3.1959 0.0000 0.0000
0.0000 3.1959 0.0000
0.0000 0.0000 7.8745
Pb Y N
1 2 1
Direct
0.5000 0.5000 0.5000
0.0000 0.0000 0.8175
0.0000 0.0000 0.1825
0.5000 0.5000 0.0000

=====

Y3PbN PBE optimized geometry; magnetic moment = 0.00 μB/f.u.; D(E_F) = 0.4924 states/eV/atom; E_form (uncorrected) = -908.4 meV per atom
1.0
-4.5837 2.7075 2.7356
2.7391 -3.0749 4.3435
3.9458 5.3560 1.3034
Y Pb N
6 2 2
Direct
0.8499 0.1524 0.6339
0.8497 0.6525 0.3940
0.3499 0.6524 0.6339
0.8495 0.1525 0.1542
0.3495 0.6524 0.1542
0.3497 0.1524 0.3941
0.8497 0.6523 0.8940
0.3496 0.1522 0.8941
0.5997 0.9024 0.3940
0.0997 0.4024 0.3940

=====

Y3PbN PBE optimized geometry; magnetic moment = 0.76 μB/f.u.; D(E_F) = 1.3828 states/eV/atom; E_form (uncorrected) = 9.2 meV per atom
1.0
4.6146 0.0000 0.0000
0.0000 4.6146 0.0000
0.0000 0.0000 8.3222
Pb Y N
1 3 1
Direct
0.0000 0.0000 0.3502
0.0000 0.0000 0.9874
0.5000 0.0000 0.6327
0.0000 0.5000 0.6327
0.5000 0.5000 0.6607

=====

| no. | energy (eV/atom) |
| --- | --- |
| 1 | -7.119 |
| 2 | -6.874 |
| 3 | -7.022 |
| 4 | -4.811 |
| 5 | -6.039 |
| 6 | -7.071 |
| 7 | -6.765 |
| 8 | -6.740 |
| 9 | -6.956 |
| 10 | -6.895 |
| 11 | -6.329 |
| 12 | -7.041 |
| 13 | -7.082 |
| 14 | -7.341 |
| 15 | -6.850 |
| 16 | -3.470 |
| 17 | -6.016 |
| 18 | -7.094 |
| 19 | -6.971 |
| 20 | -6.719 |
| 21 | -7.194 |
| 22 | -6.276 |